No. 1
# PmGaSnHg PBE relaxed
# Formation enthalpy at 0 K in meV per atom: -304.1
# D(E_F) in states/eV/cell: 6.84
data_PmGaSnHg
_chemical_formula_sum 'Pm4 Ga4 Sn4 Hg4'
_cell_length_a 7.361
_cell_length_b 7.361
_cell_length_c 7.361
_cell_angle_alpha 90.00
_cell_angle_beta 90.00
_cell_angle_gamma 90.00
_space_group_name_H-M_alt 'F -4 3 m'
_space_group_IT_number 216
_space_group_name_Hall 'F -4 2 3'
loop_
_atom_site_label
_atom_site_fract_x
_atom_site_fract_y
_atom_site_fract_z
_atom_site_occupancy
Pm1 0.000 0.000 0.000 1
Ga1 0.250 0.250 0.250 1
Sn1 0.000 0.000 0.500 1
Hg1 0.250 0.250 0.750 1

No. 2
# Er3Cd5O12 PBE relaxed
# D(E_F) in states/eV/cell: 130.10
# Calculated total energy in eV for the cell shown: -876.0
data_Er3Cd5O12
_chemical_formula_sum 'Er24 Cd40 O96'
_cell_length_a 13.162
_cell_length_b 13.162
_cell_length_c 13.162
_cell_angle_alpha 90.00
_cell_angle_beta 90.00
_cell_angle_gamma 90.00
_space_group_name_H-M_alt 'I a -3 d'
_space_group_IT_number 230
_space_group_name_Hall '-I 4bd 2c 3'
loop_
_atom_site_label
_atom_site_fract_x
_atom_site_fract_y
_atom_site_fract_z
_atom_site_occupancy
Er1 0.000 0.250 0.125 1
Cd1 0.000 0.000 0.000 1
Cd2 0.000 0.250 0.375 1
O1 0.013 0.072 0.656 1